1.
Entry from the Alexandria database: crystalline NbTc2Mo at its relaxed geometry (GGA-PBE).

Computed properties:
E_tot	-9.79	eV/atom
total moment	0.00	Bohr magnetons per cell
DOS at the Fermi energy	1.114	states/eV/atom
E above lowest polymorph	0.7371	eV per atom
ΔE_f	616	meV per atom

Unit cell a=5.7142 b=5.7142 c=5.7142 alpha=102.26 beta=102.26 gamma=125.12
Positions (direct):
Nb 0.0000 0.0000 0.0000
Nb 0.7500 0.2500 0.5000
Tc 0.1365 0.1250 0.5115
Tc 0.3750 0.8635 0.9885
Tc 0.6135 0.6250 0.4885
Tc 0.8750 0.3865 0.0115
Mo 0.2500 0.7500 0.5000
Mo 0.5000 0.5000 0.0000


2.
Entry from the Alexandria database: crystalline Ba2Sc2Tc at its relaxed geometry (GGA-PBE).

Computed properties:
E_tot	-4.99	eV/atom
total moment	0.00	Bohr magnetons per cell
DOS at the Fermi energy	0.711	states/eV/atom
E above lowest polymorph	0.0000	eV per atom
ΔE_f	387	meV per atom

Unit cell a=6.9929 b=6.9929 c=6.4094 alpha=90.00 beta=90.00 gamma=90.00
Positions (direct):
Ba 0.1874 0.3126 0.0000
Ba 0.3126 0.8126 0.0000
Ba 0.6874 0.1874 0.0000
Ba 0.8126 0.6874 0.0000
Sc 0.1743 0.6743 0.5000
Sc 0.3257 0.1743 0.5000
Sc 0.6743 0.8257 0.5000
Sc 0.8257 0.3257 0.5000
Tc 0.0000 0.0000 0.5000
Tc 0.5000 0.5000 0.5000